This record from the Alexandria database describes a relaxed structure of MnAlCoO. The functional is PBE with a Hubbard U.

abc: 8.9208 3.0417 4.9241
angles: 90.00 100.27 90.00
Closest atoms and distances in Å follow each position.
Element x y z (fractional)
Mn  0.0000  0.0000  0.0000  2 O 2.07
Mn  0.5000  0.5000  0.0000  2 O 2.07
Al  0.1563  0.5000  0.6110  1 O 1.83
Al  0.6563  0.0000  0.6110  1 O 1.83
Co  0.3725  0.0000  0.5676  1 O 2.06
Co  0.8725  0.5000  0.5676  1 O 2.06
O  0.0186  0.5000  0.2880  1 Al 1.83
O  0.5186  0.0000  0.2880  1 Al 1.83

## Properties
Calculated density, g cm⁻³: 4.0
Density of states at the Fermi level, states/eV/atom: 0.382
E_tot, eV per formula unit: -23.07
SG: Cm, No. 8
M_tot, μB/cell: 12.8